Record 1
Entry from the Alexandria database: a relaxed MgAg2W crystal (PBEsol). Values from VASP.

Summary:
DOS(E_F)	2.5	states/eV/cell
magnetic moment	0.0	μB/cell
space-group type	Imm2
calculated formation energy	0.50	eV per atom

Geometry as Quantum ESPRESSO input:
```
&SYSTEM
  ibrav = 0, nat = 4, ntyp = 3
/
ATOMIC_SPECIES
Ag 107.87 Ag.upf
Mg 24.30 Mg.upf
W 183.84 W.upf
CELL_PARAMETERS angstrom
-1.6299 -1.7393 1.3538
3.9536 -2.0060 2.1828
-1.5584 5.1416 1.9540
ATOMIC_POSITIONS angstrom
Ag -0.0027 0.0221 0.0252
Ag -1.0118 0.7535 2.5252
Mg -0.3917 3.2290 3.6768
W 1.7750 0.6606 2.9857
```

Record 2
Entry from the Alexandria database: a relaxed FePb3C crystal (PBEsol). Values from VASP.

Summary:
DOS(E_F)	3.0	states/eV/cell
magnetic moment	2.0	μB/cell
space-group type	Pm-3m
calculated formation energy	1.44	eV per atom

Geometry as Quantum ESPRESSO input:
```
&SYSTEM
  ibrav = 0, nat = 5, ntyp = 3
/
ATOMIC_SPECIES
Fe 55.84 Fe.upf
Pb 207.20 Pb.upf
C 12.01 C.upf
CELL_PARAMETERS angstrom
4.9232 0.0000 0.0000
0.0000 4.9232 0.0000
0.0000 0.0000 4.9232
ATOMIC_POSITIONS angstrom
Fe 0.0000 0.0000 0.0000
Pb 2.4616 0.0000 0.0000
Pb 0.0000 2.4616 0.0000
Pb 0.0000 0.0000 2.4616
C 2.4616 2.4616 2.4616
```

Record 3
Entry from the Alexandria database: a relaxed YSiNi crystal (PBEsol). Values from VASP.

Summary:
DOS(E_F)	6.9	states/eV/cell
magnetic moment	0.0	μB/cell
space-group type	F-43m
formation energy without anion corrections	-560	meV per atom

Geometry as Quantum ESPRESSO input:
```
&SYSTEM
  ibrav = 0, nat = 3, ntyp = 3
/
ATOMIC_SPECIES
Ni 58.69 Ni.upf
Si 28.09 Si.upf
Y 88.91 Y.upf
CELL_PARAMETERS angstrom
4.2581 0.0000 0.0000
2.1291 3.6877 0.0000
2.1291 1.2292 3.4768
ATOMIC_POSITIONS angstrom
Ni 2.1291 1.2292 0.8692
Si 0.0000 0.0000 0.0000
Y 4.2581 2.4584 1.7384
```

Record 4
Entry from the Alexandria database: a relaxed Cs2HfCr crystal (PBEsol). Values from VASP.

Summary:
DOS(E_F)	3.2	states/eV/cell
magnetic moment	2.2	μB/cell
space-group type	Fm-3m
calculated formation energy	1.85	eV per atom

Geometry as Quantum ESPRESSO input:
```
&SYSTEM
  ibrav = 0, nat = 4, ntyp = 3
/
ATOMIC_SPECIES
Cs 132.91 Cs.upf
Hf 178.49 Hf.upf
Cr 52.00 Cr.upf
CELL_PARAMETERS angstrom
5.9673 0.0000 0.0000
2.9837 5.1679 0.0000
2.9837 1.7226 4.8723
ATOMIC_POSITIONS angstrom
Cs 8.9510 5.1679 3.6542
Cs 2.9837 1.7226 1.2181
Hf 5.9673 3.4452 2.4362
Cr 0.0000 0.0000 0.0000
```

Record 5
Entry from the Alexandria database: a relaxed PHRuS2 crystal (PBEsol). Values from VASP.

Summary:
DOS(E_F)	4.9	states/eV/cell
ΔE to the lowest computed polymorph	327.1	meV per atom
magnetic moment	0.2	μB/cell
space-group type	P4/mmm

Geometry as Quantum ESPRESSO input:
```
&SYSTEM
  ibrav = 0, nat = 5, ntyp = 4
/
ATOMIC_SPECIES
S 32.06 S.upf
H 1.01 H.upf
Ru 101.07 Ru.upf
P 30.97 P.upf
CELL_PARAMETERS angstrom
4.4841 0.0000 0.0000
0.0000 4.5601 0.0000
0.0000 0.0000 4.5601
ATOMIC_POSITIONS angstrom
S 0.0000 2.2801 0.0000
S 0.0000 0.0000 2.2801
H 2.2420 2.2801 2.2801
Ru 0.0000 0.0000 0.0000
P 2.2420 0.0000 0.0000
```

Record 6
Entry from the Alexandria database: a relaxed K2LiY crystal (PBEsol). Values from VASP.

Summary:
DOS(E_F)	4.2	states/eV/cell
magnetic moment	0.2	μB/cell
space-group type	R-3m
calculated formation energy	0.37	eV per atom

Geometry as Quantum ESPRESSO input:
```
&SYSTEM
  ibrav = 0, nat = 4, ntyp = 3
/
ATOMIC_SPECIES
K 39.10 K.upf
Li 6.94 Li.upf
Y 88.91 Y.upf
CELL_PARAMETERS angstrom
-2.4705 -2.2849 -1.5818
0.3737 -0.9554 -3.5741
6.7770 -11.6630 1.8919
ATOMIC_POSITIONS angstrom
K 3.4478 -11.0893 -2.4781
K 1.2323 -3.8140 -0.7859
Li 2.3400 -7.4516 -1.6320
Y 0.0000 0.0000 0.0000
```

Record 7
Entry from the Alexandria database: a relaxed BaCuAs2W crystal (PBEsol). Values from VASP.

Summary:
DOS(E_F)	4.5	states/eV/cell
magnetic moment	3.8	μB/cell
space-group type	P4/mmm
calculated formation energy	2.72	eV per atom

Geometry as Quantum ESPRESSO input:
```
&SYSTEM
  ibrav = 0, nat = 5, ntyp = 4
/
ATOMIC_SPECIES
W 183.84 W.upf
Cu 63.55 Cu.upf
As 74.92 As.upf
Ba 137.33 Ba.upf
CELL_PARAMETERS angstrom
5.5367 0.0000 0.0000
0.0000 5.5367 0.0000
0.0000 0.0000 5.5189
ATOMIC_POSITIONS angstrom
W 0.0000 0.0000 2.7594
Cu 2.7683 2.7683 2.7594
As 2.7683 0.0000 0.0000
As 0.0000 2.7683 0.0000
Ba 0.0000 0.0000 0.0000
```

Record 8
Entry from the Alexandria database: a relaxed SbMo2Cl crystal (PBEsol). Values from VASP.

Summary:
DOS(E_F)	1.6	states/eV/cell
ΔE to the lowest computed polymorph	0.0	meV per atom
magnetic moment	0.0	μB/cell
space-group type	Pm
formation energy without anion corrections	-100	meV per atom

Geometry as Quantum ESPRESSO input:
```
&SYSTEM
  ibrav = 0, nat = 4, ntyp = 3
/
ATOMIC_SPECIES
Mo 95.94 Mo.upf
Sb 121.76 Sb.upf
Cl 35.45 Cl.upf
CELL_PARAMETERS angstrom
-2.4861 1.2120 1.3941
-0.3364 -2.6929 1.7412
4.9367 4.4786 4.9099
ATOMIC_POSITIONS angstrom
Mo 0.1319 -0.3770 0.5630
Mo -0.4807 -0.5916 3.0978
Sb 2.0319 0.8738 2.8639
Cl 2.7311 3.9854 4.8461
```

Record 9
Entry from the Alexandria database: a relaxed La2TlAs crystal (PBEsol). Values from VASP.

Summary:
DOS(E_F)	2.7	states/eV/cell
ΔE to the lowest computed polymorph	55.5	meV per atom
magnetic moment	0.0	μB/cell
space-group type	P2/m
calculated formation energy	-0.87	eV per atom

Geometry as Quantum ESPRESSO input:
```
&SYSTEM
  ibrav = 0, nat = 4, ntyp = 3
/
ATOMIC_SPECIES
Tl 204.38 Tl.upf
As 74.92 As.upf
La 138.91 La.upf
CELL_PARAMETERS angstrom
3.8552 0.0000 0.1268
0.0000 3.8568 0.0000
-0.2485 0.0000 7.2541
ATOMIC_POSITIONS angstrom
Tl 1.9276 1.9284 0.0634
As 1.8034 1.9284 3.6904
La 3.6718 0.0000 5.3712
La -0.0651 0.0000 2.0097
```

Record 10
Entry from the Alexandria database: a relaxed SrCo2P2O8 crystal (PBEsol). Values from VASP.

Summary:
magnetic moment	12.0	μB/cell
space-group type	P-1
formation energy without anion corrections	-1988	meV per atom

Geometry as Quantum ESPRESSO input:
```
&SYSTEM
  ibrav = 0, nat = 26, ntyp = 4
/
ATOMIC_SPECIES
O 16.00 O.upf
P 30.97 P.upf
Sr 87.62 Sr.upf
Co 58.93 Co.upf
CELL_PARAMETERS angstrom
4.9762 -0.0018 -0.0023
-0.4447 8.5569 -0.0143
-2.0555 -3.8663 8.1807
ATOMIC_POSITIONS angstrom
O 3.9189 6.4319 2.3752
O 1.2122 1.7666 2.9528
O -1.7120 0.5540 6.7202
O 1.9328 4.8695 2.4801
O 3.4147 0.2822 4.2686
O 4.5216 0.7859 1.3069
O 0.9400 2.6795 7.7183
O 0.6842 4.9762 6.5146
O -1.4429 -1.7431 5.7890
O -2.0456 3.9029 6.8572
O 1.5359 2.0093 0.4459
O 1.7918 -0.2874 1.6495
O -0.9388 4.4066 3.8955
O 1.2638 2.9222 5.2113
O 4.1880 4.1348 1.4439
O 0.5432 -0.1807 5.6840
P -0.9983 -0.2719 5.6419
P 1.0586 1.0741 1.5405
P 1.4174 3.6147 6.6236
P 3.4742 4.9607 2.5222
Sr 1.7948 -1.3932 7.7319
Sr 0.6811 6.0820 0.4322
Co 3.5541 -0.4006 2.4556
Co 0.7864 3.5975 3.3927
Co 1.6895 1.0912 4.7714
Co -1.0781 5.0894 5.7085
```

Record 11
Entry from the Alexandria database: a relaxed KGaAsBr2 crystal (PBEsol). Values from VASP.

Summary:
magnetic moment	3.0	μB/cell
space-group type	P4/mmm
formation energy without anion corrections	237	meV per atom

Geometry as Quantum ESPRESSO input:
```
&SYSTEM
  ibrav = 0, nat = 5, ntyp = 4
/
ATOMIC_SPECIES
As 74.92 As.upf
Br 79.90 Br.upf
K 39.10 K.upf
Ga 69.72 Ga.upf
CELL_PARAMETERS angstrom
-3.9003 3.6169 2.6031
-3.9175 -4.4680 0.3384
2.1707 -1.4991 5.3353
ATOMIC_POSITIONS angstrom
As -1.9501 1.8084 1.3016
Br -1.9587 -2.2340 0.1692
Br 1.0853 -0.7496 2.6676
K 0.0000 0.0000 0.0000
Ga -2.8235 -1.1751 4.1384
```

Record 12
Entry from the Alexandria database: a relaxed CsCd13 crystal (PBEsol). Values from VASP.

Summary:
DOS(E_F)	6.1	states/eV/cell
magnetic moment	0.0	μB/cell
space-group type	Fm-3c
calculated formation energy	-0.08	eV per atom

Geometry as Quantum ESPRESSO input:
```
&SYSTEM
  ibrav = 0, nat = 28, ntyp = 2
/
ATOMIC_SPECIES
Cd 112.41 Cd.upf
Cs 132.91 Cs.upf
CELL_PARAMETERS angstrom
9.7208 0.0000 0.0000
4.8604 8.4185 0.0000
4.8604 2.8062 7.9370
ATOMIC_POSITIONS angstrom
Cd 8.5475 4.2697 1.5821
Cd 7.9714 3.2474 4.4388
Cd 8.5475 8.5272 7.4667
Cd 12.6435 5.2797 4.4388
Cd 10.8941 6.9549 6.3549
Cd 5.4364 4.4936 5.5506
Cd 10.2968 3.9249 6.3549
Cd 8.5475 8.3097 4.4388
Cd 10.8941 2.9149 3.4982
Cd 9.1447 7.2997 1.5821
Cd 7.9714 5.9571 6.3549
Cd 6.6098 6.0536 0.4703
Cd 10.8941 9.8820 5.5506
Cd 11.6585 8.0859 0.4703
Cd 12.8318 5.1710 7.4667
Cd 12.8318 2.4613 5.5506
Cd 11.4702 7.9772 3.4982
Cd 9.7208 5.6123 3.9685
Cd 7.7831 3.1387 7.4667
Cd 11.4702 5.2675 1.5821
Cd 10.8941 2.6974 0.4703
Cd 0.0000 0.0000 0.0000
Cd 6.7981 5.9449 3.4982
Cd 8.5475 1.3426 2.3864
Cd 14.0051 6.7310 2.3864
Cd 6.6098 8.7633 2.3864
Cs 4.8604 2.8062 1.9842
Cs 14.5812 8.4185 5.9527
```